The following is a DFT calculation (PBE) of a relaxed CdRhPbO6 crystal.

The density of states at the Fermi level is 12.07 states/eV per cell. The value obtained for the volume is 13.5 Å³ per atom. For the energy, the calculation gives -47.29 eV per formula unit.

The structure belongs to space group P-31c (No. 163); the cell edges are 5.5344, 5.5344 and 9.1815 Å and the angles 90.00°, 90.00° and 120.00°. The asymmetric unit holds Cd at (0.0000, 0.0000, 0.0000), Rh at (0.3333, 0.6667, 0.2500), Pb at (0.3333, 0.6667, 0.7500) and O at (0.0348, 0.3799, 0.1301).